Here is crystalline RbMn2CuTc at its relaxed geometry from the Alexandria database. Energies are from PBE.

Cell and atoms, written as extended XYZ:
```
5
Lattice="-0.4269 -0.2699 4.7419 -4.7124 -1.9820 -0.5370 1.8566 -4.3917 -0.0828" Properties=species:S:1:pos:R:3 pbc="T T T"
Tc 0.0000 0.0000 0.0000
Mn -0.2134 -0.1349 2.3710
Cu -2.3562 -0.9910 -0.2685
Mn 0.9283 -2.1959 -0.0414
Rb -1.6414 -3.3218 2.0610
```

## Properties
As for the theoretical density: 5.07 g/cm³. For the formation energy, the calculation gives 5.12 eV/f.u. The density of states at the Fermi level is 0.7918 states/eV per atom. The value obtained for the electronic total energy is -28.65 eV/cell.